No. 1
VASP calculation (PBEsol) on an optimized crystal structure of IrRu2Au.

Cell lengths 2.687, 2.687, 9.399 Å; angles 90.00, 90.00, 119.31 degrees
Fractional positions:
Au 0.000 0.000 0.502
Ir 0.500 0.500 0.237
Ru 0.000 0.000 0.996
Ru 0.500 0.500 0.765

DFT formation energy: 0.4829 eV per atom
SG: Cmm2
Distance to the lowest polymorph of the same formula: 164.4 meV/atom
Fermi-level density of states: 5.1 states/eV/f.u.
Theoretical density: 16.60 g/cm3

No. 2
VASP calculation (PBEsol) on an optimized crystal structure of Zr2CdPb.

Cell lengths 4.365, 4.435, 4.435 Å; angles 90.00, 90.00, 90.00 degrees
Fractional positions:
Pb 0.500 0.000 0.000
Zr 0.000 0.000 0.500
Zr 0.000 0.500 0.000
Cd 0.500 0.500 0.500

DFT formation energy: -0.2106 eV per atom
SG: P4/mmm
Fermi-level density of states: 2.8 states/eV/f.u.
Theoretical density: 9.71 g/cm3

No. 3
VASP calculation (PBEsol) on an optimized crystal structure of Ho2AlCd.

Cell lengths 5.096, 5.096, 5.096 Å; angles 60.00, 60.00, 60.00 degrees
Fractional positions:
Ho 0.750 0.750 0.750
Ho 0.250 0.250 0.250
Al 0.000 0.000 0.000
Cd 0.500 0.500 0.500

DFT formation energy: -0.3705 eV per atom
SG: Fm-3m
Fermi-level density of states: 3.0 states/eV/f.u.
Theoretical density: 8.33 g/cm3

What did we get for DFT total energy? Answer: -8.04 -6.05 -4.17 eV per atom, in the order shown.